Density functional theory data (PBE) for a relaxed structure of In4Ru.

```
data_In4Ru
_chemical_formula_sum 'In4 Ru1'
_space_group_name_H-M_alt 'P m -3 m'
_space_group_IT_number 221
_space_group_name_Hall '-P 4 2 3'
_cell_length_a 5.192
_cell_length_b 5.192
_cell_length_c 5.192
_cell_angle_alpha 90.00
_cell_angle_beta 90.00
_cell_angle_gamma 90.00
loop_
_atom_site_label
_atom_site_fract_x
_atom_site_fract_y
_atom_site_fract_z
In1 0.000 0.000 0.000
In2 0.000 0.500 0.500
Ru1 0.500 0.500 0.500
```

**Total DFT energy (no corrections)**: -19.77 eV per formula unit
**E above lowest polymorph**: 111 meV/atom
**E_form**: 91 meV per atom